First-principles (PBE) data for a relaxed Cd2NiOs crystal, as listed in Alexandria via LeMat-Bulk.

Properties
Space-group type   No. 8
Final energy   -4.334 eV per atom
Crystal system   monoclinic
Energy of formation   36.3 kJ/mol of atoms
Polymorph energy (0 for the lowest one)   84 meV/atom

Geometry as POSCAR:
```
Cd2NiOs
1.0
-0.5321 4.4315 -3.0965
-0.8768 2.2991 -4.8430
-4.7321 1.3613 -0.7283
Cd Ni Os
2 1 1
Cartesian
-4.2858 6.0961 -6.5972 Cd
-1.6912 6.7181 -7.8687 Cd
-3.3460 4.2739 -4.5579 Ni
-1.2974 1.7803 -1.9176 Os
```



First-principles (PBE) data for a relaxed CdNiOs2 crystal, as listed in Alexandria via LeMat-Bulk.

Properties
Space-group type   No. 99
Final energy   -7.056 eV per atom
Crystal system   tetragonal
Energy of formation   22.5 kJ/mol of atoms

Geometry as POSCAR:
```
CdNiOs2
1.0
2.7970 0.0000 0.0000
0.0000 2.7970 0.0000
0.0000 0.0000 7.6441
Cd Os Ni
1 2 1
Cartesian
0.0000 0.0000 3.9159 Cd
1.3985 1.3985 1.6815 Os
0.0000 0.0000 7.6268 Os
1.3985 1.3985 5.8860 Ni
```



First-principles (PBE) data for a relaxed CdNi2Os crystal, as listed in Alexandria via LeMat-Bulk.

Properties
Space-group type   No. 8
Final energy   -5.654 eV per atom
Crystal system   monoclinic
Energy of formation   26.4 kJ/mol of atoms

Geometry as POSCAR:
```
CdNi2Os
1.0
-3.4300 2.9408 1.5171
-4.3652 0.4534 1.8584
0.8206 0.3167 4.5571
Os Cd Ni
1 1 2
Cartesian
-3.3206 1.8216 4.1766 Os
-1.8246 0.9386 1.8405 Cd
-5.2120 2.7532 5.7832 Ni
-0.1048 0.0529 0.0985 Ni
```



First-principles (PBE) data for a relaxed CdNiOs2 crystal, as listed in Alexandria via LeMat-Bulk.

Properties
Space-group type   No. 44
Final energy   -6.681 eV per atom
Crystal system   orthorhombic
Energy of formation   58.7 kJ/mol of atoms

Geometry as POSCAR:
```
CdNiOs2
1.0
5.2474 -0.0011 -0.0033
2.4276 4.6521 0.0033
-3.2121 -3.3575 2.4382
Cd Os Ni
1 2 1
Cartesian
3.7594 2.2782 0.0000 Cd
0.0337 0.0205 0.0000 Os
3.0476 -0.4492 1.2175 Os
1.4596 1.7696 1.2208 Ni
```



First-principles (PBE) data for a relaxed Cd2NiOs crystal, as listed in Alexandria via LeMat-Bulk.

Properties
Space-group type   No. 123
Final energy   -4.157 eV per atom
Crystal system   tetragonal
Energy of formation   53.4 kJ/mol of atoms
Polymorph energy (0 for the lowest one)   262 meV/atom

Geometry as POSCAR:
```
Cd2NiOs
1.0
-1.6448 -0.6725 -4.1152
4.0799 -1.1732 -1.4390
-0.6230 -3.0918 0.7543
Cd Os Ni
2 1 1
Cartesian
0.0000 0.0000 0.0000 Cd
1.2176 -0.9228 -2.7771 Cd
1.7284 -2.1325 -0.3424 Os
-1.1339 -1.8822 -1.6805 Ni
```



First-principles (PBE) data for a relaxed CdNiOs2 crystal, as listed in Alexandria via LeMat-Bulk.

Properties
Space-group type   No. 25
Final energy   -6.984 eV per atom
Crystal system   orthorhombic
Energy of formation   29.4 kJ/mol of atoms

Geometry as POSCAR:
```
CdNiOs2
1.0
3.7562 0.0000 0.0000
0.0000 2.7845 0.0133
0.0000 2.7568 5.7798
Os Ni Cd
2 1 1
Cartesian
0.0000 2.7832 0.0797 Os
1.8781 1.3859 1.1915 Os
1.8781 4.1556 4.4272 Ni
0.0000 2.7716 3.0045 Cd
```